# CaNd3Er GGA-PBE optimized geometry
data_CaNd3Er
_chemical_formula_sum 'Ca2 Nd6 Er2'
_symmetry_space_group_name_H-M 'P 1'
_symmetry_Int_Tables_number 1
_cell_length_a 12.301
_cell_length_b 12.301
_cell_length_c 12.301
_cell_angle_alpha 29.31
_cell_angle_beta 29.31
_cell_angle_gamma 29.31
loop_
_symmetry_equiv_pos_as_xyz
'x,y,z'
loop_
_atom_site_label
_atom_site_type_symbol
_atom_site_fract_x
_atom_site_fract_y
_atom_site_fract_z
_atom_site_occupancy
Ca1 Ca 0.167 0.167 0.167 1
Ca2 Ca 0.833 0.833 0.833 1
Nd1 Nd 0.082 0.750 0.402 1
Nd2 Nd 0.250 0.598 0.918 1
Nd3 Nd 0.402 0.082 0.750 1
Nd4 Nd 0.598 0.918 0.250 1
Nd5 Nd 0.750 0.402 0.082 1
Nd6 Nd 0.918 0.250 0.598 1
Er1 Er 0.334 0.334 0.334 1
Er2 Er 0.666 0.666 0.666 1
# **SG**: R-3, No. 148
# **Crystal system**: trigonal
# **Formation energy**: 0.363 eV/atom
# **Relative energy among the computed polymorphs**: 129 kJ/mol of formula units

# CaNd2Er GGA-PBE optimized geometry
data_CaNd2Er
_chemical_formula_sum 'Ca1 Nd2 Er1'
_symmetry_space_group_name_H-M 'P 1'
_symmetry_Int_Tables_number 1
_cell_length_a 12.376
_cell_length_b 12.376
_cell_length_c 12.376
_cell_angle_alpha 16.96
_cell_angle_beta 16.96
_cell_angle_gamma 16.96
loop_
_symmetry_equiv_pos_as_xyz
'x,y,z'
loop_
_atom_site_label
_atom_site_type_symbol
_atom_site_fract_x
_atom_site_fract_y
_atom_site_fract_z
_atom_site_occupancy
Ca1 Ca 0.000 0.000 0.000 1
Nd1 Nd 0.245 0.245 0.245 1
Nd2 Nd 0.422 0.422 0.422 1
Er1 Er 0.833 0.833 0.833 1
# **SG**: R3m, No. 160
# **Crystal system**: trigonal
# **Formation energy**: 0.040 eV/atom
# **Relative energy among the computed polymorphs**: 2 kJ/mol of formula units

# CaNd6Er GGA-PBE optimized geometry
data_CaNd6Er
_chemical_formula_sum 'Ca1 Nd6 Er1'
_symmetry_space_group_name_H-M 'P 1'
_symmetry_Int_Tables_number 1
_cell_length_a 5.191
_cell_length_b 5.191
_cell_length_c 10.407
_cell_angle_alpha 90.00
_cell_angle_beta 90.00
_cell_angle_gamma 90.00
loop_
_symmetry_equiv_pos_as_xyz
'x,y,z'
loop_
_atom_site_label
_atom_site_type_symbol
_atom_site_fract_x
_atom_site_fract_y
_atom_site_fract_z
_atom_site_occupancy
Ca1 Ca 0.000 0.000 0.000 1
Nd1 Nd 0.000 0.500 0.257 1
Nd2 Nd 0.000 0.500 0.743 1
Nd3 Nd 0.500 0.000 0.257 1
Nd4 Nd 0.500 0.000 0.743 1
Nd5 Nd 0.500 0.500 0.000 1
Nd6 Nd 0.500 0.500 0.500 1
Er1 Er 0.000 0.000 0.500 1
# **SG**: P4/mmm, No. 123
# **Crystal system**: tetragonal
# **Formation energy**: 0.039 eV/atom